Record 1
## BaSbTe2Cl (PBE)

Data for a relaxed structure of BaSbTe2Cl.

Cell lengths 5.7830, 5.7830, 5.2043 Å; angles 90.00, 90.00, 90.00 degrees
Sites, in units of the cell vectors:
Ba 0.0000 0.0000 0.0000
Sb 0.5000 0.5000 0.0000
Te 0.0000 0.5000 0.5000
Te 0.5000 0.0000 0.5000
Cl 0.5000 0.5000 0.5000

Energy above the most stable polymorph in this dataset: 0.000 eV/atom
E_form (uncorrected): -0.267 eV per atom
Symmetry: P4/mmm (123)
Density of states at the Fermi level: 0.8037 states/eV/atom
Uncorrected energy: -3.10 eV/atom

***

Record 2
## BaSbTe2Cl (PBE)

Data for a relaxed structure of BaSbTe2Cl.

Cell lengths 6.5809, 6.5809, 6.7154 Å; angles 90.00, 90.00, 90.00 degrees
Sites, in units of the cell vectors:
Ba 0.0000 0.0000 0.0000
Sb 0.0000 0.0000 0.5000
Te 0.0000 0.5000 0.0000
Te 0.5000 0.0000 0.0000
Cl 0.5000 0.5000 0.5000

Energy above the most stable polymorph in this dataset: 0.783 eV/atom
E_form (uncorrected): 0.516 eV per atom
Symmetry: P4/mmm (123)
Density of states at the Fermi level: 2.1709 states/eV/atom
Uncorrected energy: -2.32 eV/atom

***

Record 3
## BaTl2SbCl6 (PBE)

Data for a relaxed structure of BaTl2SbCl6.

Cell lengths 7.9580, 7.9645, 8.3540 Å; angles 115.70, 115.46, 91.70 degrees
Sites, in units of the cell vectors:
Ba 0.0000 0.0000 0.0000
Tl 0.3715 0.7421 0.6231
Tl 0.7420 0.3718 0.6223
Sb 0.4477 0.4476 0.9584
Cl 0.1590 0.1607 0.7977
Cl 0.2095 0.6767 0.9328
Cl 0.3033 0.3029 0.4224
Cl 0.6761 0.2087 0.9388
Cl 0.7119 0.7114 0.5502
Cl 0.7236 0.7215 0.0079

E_form (uncorrected): -1.261 eV per atom
Symmetry: P1 (1)
Uncorrected energy: -3.45 eV/atom

***

Record 4
## BaYSb2Cl (PBE)

Data for a relaxed structure of BaYSb2Cl.

Cell lengths 6.0298, 6.0298, 6.5165 Å; angles 90.00, 90.00, 90.00 degrees
Sites, in units of the cell vectors:
Ba 0.0000 0.0000 0.0000
Y 0.0000 0.0000 0.5000
Sb 0.0000 0.5000 0.0000
Sb 0.5000 0.0000 0.0000
Cl 0.5000 0.5000 0.5000

E_form (uncorrected): 0.762 eV per atom
Symmetry: P4/mmm (123)
Density of states at the Fermi level: 0.9761 states/eV/atom
Uncorrected energy: -2.93 eV/atom